[1]
Computed, not measured: a geometry-optimized CoIrI2N structure at the GGA-PBE level of DFT.

The structure in CIF format:
```
data_CoIrI2N
_cell_length_a 5.616
_cell_length_b 5.616
_cell_length_c 3.690
_cell_angle_alpha 90.00
_cell_angle_beta 90.00
_cell_angle_gamma 90.00
_space_group_name_H-M_alt 'P 1'
_space_group_IT_number 1
loop_
_space_group_symop_operation_xyz
'x,y,z'
loop_
_atom_site_label
_atom_site_fract_x
_atom_site_fract_y
_atom_site_fract_z
Co1 0.000 0.000 0.000
Ir1 0.500 0.500 0.500
I1 0.000 0.500 0.500
I2 0.500 0.000 0.500
N1 0.500 0.500 0.000
```

Calculated values
relative energy among the computed polymorphs = 0.000 eV/atom

[2]
Computed, not measured: a geometry-optimized CoIrI2N structure at the GGA-PBE level of DFT.

The structure in CIF format:
```
data_CoIrI2N
_cell_length_a 5.245
_cell_length_b 5.245
_cell_length_c 3.383
_cell_angle_alpha 90.00
_cell_angle_beta 90.00
_cell_angle_gamma 90.00
_space_group_name_H-M_alt 'P 1'
_space_group_IT_number 1
loop_
_space_group_symop_operation_xyz
'x,y,z'
loop_
_atom_site_label
_atom_site_fract_x
_atom_site_fract_y
_atom_site_fract_z
Co1 0.000 0.000 0.000
Ir1 0.500 0.500 0.500
I1 0.000 0.500 0.000
I2 0.500 0.000 0.000
N1 0.000 0.000 0.500
```

Calculated values
relative energy among the computed polymorphs = 0.131 eV/atom

[3]
Computed, not measured: a geometry-optimized NaCoIr2I structure at the GGA-PBE level of DFT.

The structure in CIF format:
```
data_NaCoIr2I
_cell_length_a 4.530
_cell_length_b 4.530
_cell_length_c 5.275
_cell_angle_alpha 90.00
_cell_angle_beta 90.00
_cell_angle_gamma 90.00
_space_group_name_H-M_alt 'P 1'
_space_group_IT_number 1
loop_
_space_group_symop_operation_xyz
'x,y,z'
loop_
_atom_site_label
_atom_site_fract_x
_atom_site_fract_y
_atom_site_fract_z
Na1 0.000 0.000 0.000
Co1 0.500 0.500 0.500
Ir1 0.000 0.500 0.500
Ir2 0.500 0.000 0.500
I1 0.500 0.500 0.000
```

[4]
Computed, not measured: a geometry-optimized Nd6CoIr2I3 structure at the GGA-PBE level of DFT.

The structure in CIF format:
```
data_Nd6CoIr2I3
_cell_length_a 7.225
_cell_length_b 7.225
_cell_length_c 8.467
_cell_angle_alpha 98.17
_cell_angle_beta 98.17
_cell_angle_gamma 120.01
_space_group_name_H-M_alt 'P 1'
_space_group_IT_number 1
loop_
_space_group_symop_operation_xyz
'x,y,z'
loop_
_atom_site_label
_atom_site_fract_x
_atom_site_fract_y
_atom_site_fract_z
Nd1 0.061 0.386 0.183
Nd2 0.264 0.264 0.817
Nd3 0.386 0.061 0.183
Nd4 0.614 0.939 0.817
Nd5 0.736 0.736 0.183
Nd6 0.939 0.614 0.817
Co1 0.000 0.000 0.000
Ir1 0.333 0.667 0.000
Ir2 0.667 0.333 0.000
I1 0.167 0.833 0.500
I2 0.500 0.500 0.500
I3 0.833 0.167 0.500
```

[5]
Computed, not measured: a geometry-optimized Nd8CoIr3I4 structure at the GGA-PBE level of DFT.

The structure in CIF format:
```
data_Nd8CoIr3I4
_cell_length_a 9.446
_cell_length_b 9.446
_cell_length_c 9.446
_cell_angle_alpha 52.60
_cell_angle_beta 52.60
_cell_angle_gamma 52.60
_space_group_name_H-M_alt 'P 1'
_space_group_IT_number 1
loop_
_space_group_symop_operation_xyz
'x,y,z'
loop_
_atom_site_label
_atom_site_fract_x
_atom_site_fract_y
_atom_site_fract_z
Nd1 0.228 0.228 0.228
Nd2 0.235 0.724 0.724
Nd3 0.276 0.276 0.765
Nd4 0.276 0.765 0.276
Nd5 0.724 0.235 0.724
Nd6 0.724 0.724 0.235
Nd7 0.765 0.276 0.276
Nd8 0.772 0.772 0.772
Co1 0.500 0.500 0.500
Ir1 0.000 0.000 0.500
Ir2 0.000 0.500 0.000
Ir3 0.500 0.000 0.000
I1 0.000 0.000 0.000
I2 0.000 0.500 0.500
I3 0.500 0.000 0.500
I4 0.500 0.500 0.000
```

[6]
Computed, not measured: a geometry-optimized CoNiIrI2 structure at the GGA-PBE level of DFT.

The structure in CIF format:
```
data_CoNiIrI2
_cell_length_a 5.065
_cell_length_b 5.065
_cell_length_c 4.647
_cell_angle_alpha 90.00
_cell_angle_beta 90.00
_cell_angle_gamma 90.00
_space_group_name_H-M_alt 'P 1'
_space_group_IT_number 1
loop_
_space_group_symop_operation_xyz
'x,y,z'
loop_
_atom_site_label
_atom_site_fract_x
_atom_site_fract_y
_atom_site_fract_z
Co1 0.000 0.000 0.000
Ni1 0.500 0.500 0.500
Ir1 0.500 0.500 0.000
I1 0.000 0.500 0.500
I2 0.500 0.000 0.500
```

Number 1: raw formation energy 0.848 eV/atom. Number 2: raw formation energy 0.979 eV/atom. Number 3: raw formation energy 0.994 eV/atom. Number 4: raw formation energy -0.831 eV/atom. Number 5: raw formation energy -0.862 eV/atom. Number 6: raw formation energy 1.375 eV/atom.